Material: TaFe4Cu
Method: DFT, meta-GGA SCAN
State: PBEsol geometry

The volume comes out at 71 Å³ per cell. The calculation puts the total energy at -1.8896 Ry/atom. Its crystal system is cubic. For the total magnetization, the calculation gives 6.442 μB per formula unit. As for the symmetry: No. 216. The calculation puts the formation energy at 0.008 eV per atom.

a = 4.646 Å, b = 4.646 Å, c = 4.646 Å
α = 60.00°, β = 60.00°, γ = 60.00°
Atoms (fractional coordinates):
Cu 0.000 0.000 0.000
Fe 0.374 0.374 0.374
Fe 0.374 0.374 0.879
Fe 0.879 0.374 0.374
Fe 0.374 0.879 0.374
Ta 0.750 0.750 0.750

=====

Material: SnPtF2
Method: DFT, meta-GGA SCAN
State: PBEsol geometry

The volume comes out at 61 Å³ per cell. The calculation puts the total energy at -2.1537 Ry/atom. Its crystal system is trigonal. For the total magnetization, the calculation gives 0.000 μB per formula unit. As for the symmetry: No. 166. The value obtained for the energy above the most stable polymorph in this dataset is 0 meV per atom. For the uncorrected formation energy, the calculation gives -1.0043 eV/atom.

a = 2.963 Å, b = 2.963 Å, c = 8.144 Å
α = 79.52°, β = 79.52°, γ = 60.00°
Atoms (fractional coordinates):
Sn 0.500 0.500 0.500
Pt 0.000 0.000 0.000
F 0.916 0.916 0.251
F 0.084 0.084 0.749

=====

Material: NaYB3
Method: DFT, meta-GGA SCAN
State: PBEsol geometry

The volume comes out at 105 Å³ per cell. The calculation puts the total energy at -0.6558 Ry/atom. Its crystal system is cubic. For the total magnetization, the calculation gives 0.952 μB per formula unit. As for the symmetry: No. 221. The value obtained for the energy above the most stable polymorph in this dataset is 164 meV per atom. The calculation puts the formation energy at 1.947 eV per atom.

a = 4.720 Å, b = 4.720 Å, c = 4.720 Å
α = 90.00°, β = 90.00°, γ = 90.00°
Atoms (fractional coordinates):
Y 0.000 0.000 0.000
Na 0.500 0.500 0.500
B 0.000 0.500 0.000
B 0.000 0.000 0.500
B 0.500 0.000 0.000

=====

Material: YGaSi3
Method: DFT, meta-GGA SCAN
State: PBEsol geometry

The volume comes out at 105 Å³ per cell. The calculation puts the total energy at -1.0512 Ry/atom. Its crystal system is cubic. For the total magnetization, the calculation gives 0.000 μB per formula unit. As for the symmetry: No. 221. The value obtained for the energy above the most stable polymorph in this dataset is 0 meV per atom. For the uncorrected formation energy, the calculation gives 0.5457 eV/atom.

a = 4.720 Å, b = 4.720 Å, c = 4.720 Å
α = 90.00°, β = 90.00°, γ = 90.00°
Atoms (fractional coordinates):
Y 0.500 0.500 0.500
Si 0.000 0.500 0.000
Si 0.000 0.000 0.500
Si 0.500 0.000 0.000
Ga 0.000 0.000 0.000

=====

Material: K2HgRu
Method: DFT, meta-GGA SCAN
State: PBEsol geometry

The volume comes out at 106 Å³ per cell. The calculation puts the total energy at -2.1405 Ry/atom. Its crystal system is tetragonal. For the total magnetization, the calculation gives 1.748 μB per formula unit. As for the symmetry: No. 123. The calculation puts the formation energy at 0.789 eV per atom.

a = 2.803 Å, b = 6.163 Å, c = 6.163 Å
α = 90.00°, β = 90.00°, γ = 90.00°
Atoms (fractional coordinates):
Hg 0.500 0.000 0.000
K 0.000 0.000 0.500
K 0.000 0.500 0.000
Ru 0.500 0.500 0.500

=====

Material: TlHgMo2F
Method: DFT, meta-GGA SCAN
State: PBEsol geometry

The volume comes out at 157 Å³ per cell. The calculation puts the total energy at -3.0366 Ry/atom. Its crystal system is tetragonal. For the total magnetization, the calculation gives 9.064 μB per formula unit. As for the symmetry: No. 123. For the uncorrected formation energy, the calculation gives 1.4517 eV/atom.

a = 5.254 Å, b = 5.254 Å, c = 5.700 Å
α = 90.00°, β = 90.00°, γ = 90.00°
Atoms (fractional coordinates):
Mo 0.000 0.500 0.000
Mo 0.500 0.000 0.000
Tl 0.000 0.000 0.500
Hg 0.000 0.000 0.000
F 0.500 0.500 0.500

=====

Material: TcNi2Ag
Method: DFT, meta-GGA SCAN
State: PBEsol geometry

The volume comes out at 51 Å³ per cell. The calculation puts the total energy at -1.7805 Ry/atom. Its crystal system is tetragonal. For the total magnetization, the calculation gives 2.176 μB per formula unit. As for the symmetry: No. 119. The value obtained for the energy above the most stable polymorph in this dataset is 192 meV per atom. The calculation puts the formation energy at 0.469 eV per atom.

a = 3.632 Å, b = 3.632 Å, c = 4.636 Å
α = 113.07°, β = 113.07°, γ = 90.00°
Atoms (fractional coordinates):
Ag 0.250 0.750 0.500
Ni 0.000 0.000 0.000
Ni 0.750 0.250 0.500
Tc 0.500 0.500 0.000

=====

Material: Cu3PbI
Method: DFT, meta-GGA SCAN
State: PBEsol geometry

The volume comes out at 117 Å³ per cell. The calculation puts the total energy at -2.2465 Ry/atom. Its crystal system is cubic. For the total magnetization, the calculation gives 0.000 μB per formula unit. As for the symmetry: No. 221. For the uncorrected formation energy, the calculation gives 1.0590 eV/atom.

a = 4.894 Å, b = 4.894 Å, c = 4.894 Å
α = 90.00°, β = 90.00°, γ = 90.00°
Atoms (fractional coordinates):
Pb 0.500 0.500 0.500
I 0.000 0.000 0.000
Cu 0.000 0.500 0.000
Cu 0.000 0.000 0.500
Cu 0.500 0.000 0.000

=====

Material: CdH4CN2Cl2O
Method: DFT, meta-GGA SCAN
State: PBEsol geometry

The volume comes out at 294 Å³ per cell. The calculation puts the total energy at -0.6927 Ry/atom. Its crystal system is triclinic. For the total magnetization, the calculation gives 0.053 μB per formula unit. As for the symmetry: No. 2.

a = 3.778 Å, b = 8.053 Å, c = 10.212 Å
α = 74.08°, β = 81.46°, γ = 82.34°
Atoms (fractional coordinates):
Cd 0.277 0.615 0.822
Cd 0.723 0.385 0.178
H 0.900 0.961 0.868
H 0.100 0.039 0.132
H 0.913 0.186 0.798
H 0.087 0.814 0.202
H 0.185 0.288 0.581
H 0.815 0.712 0.419
H 0.437 0.147 0.488
H 0.563 0.853 0.512
C 0.206 0.031 0.683
C 0.794 0.969 0.317
N 0.013 0.061 0.797
N 0.987 0.939 0.203
N 0.294 0.166 0.579
N 0.706 0.834 0.421
Cl 0.693 0.695 0.981
Cl 0.307 0.305 0.019
Cl 0.863 0.498 0.698
Cl 0.137 0.502 0.302
O 0.313 0.876 0.673
O 0.687 0.124 0.327

=====

Material: CrReRh2
Method: DFT, meta-GGA SCAN
State: PBEsol geometry

The volume comes out at 53 Å³ per cell. The calculation puts the total energy at -2.8934 Ry/atom. Its crystal system is orthorhombic. For the total magnetization, the calculation gives 1.833 μB per formula unit. As for the symmetry: No. 47. The value obtained for the energy above the most stable polymorph in this dataset is 39 meV per atom. The calculation puts the formation energy at -0.110 eV per atom.

a = 2.646 Å, b = 3.800 Å, c = 5.251 Å
α = 90.00°, β = 90.00°, γ = 90.00°
Atoms (fractional coordinates):
Re 0.500 0.500 0.500
Rh 0.000 0.000 0.755
Rh 0.000 0.000 0.245
Cr 0.500 0.500 0.000

=====

Material: YCuAu
Method: DFT, meta-GGA SCAN
State: PBEsol geometry

The volume comes out at 56 Å³ per cell. The calculation puts the total energy at -2.7971 Ry/atom. Its crystal system is tetragonal. For the total magnetization, the calculation gives 0.000 μB per formula unit. As for the symmetry: No. 107. The calculation puts the formation energy at -0.657 eV per atom.

a = 3.574 Å, b = 3.574 Å, c = 5.058 Å
α = 110.69°, β = 110.69°, γ = 90.00°
Atoms (fractional coordinates):
Y 0.334 0.334 0.668
Au 0.005 0.005 0.010
Cu 0.661 0.661 0.322

=====

Material: Nd9Al5S21
Method: DFT, meta-GGA SCAN
State: PBEsol geometry

The volume comes out at 1516 Å³ per cell. The calculation puts the total energy at -1.4775 Ry/atom. Its crystal system is trigonal. For the total magnetization, the calculation gives 0.000 μB per formula unit. As for the symmetry: No. 146. For the uncorrected formation energy, the calculation gives -2.0113 eV/atom.

a = 11.537 Å, b = 11.537 Å, c = 11.537 Å
α = 95.10°, β = 95.10°, γ = 95.10°
Atoms (fractional coordinates):
Nd 0.116 0.884 0.258
Nd 0.775 0.545 0.927
Nd 0.446 0.233 0.602
Nd 0.233 0.602 0.446
Nd 0.884 0.258 0.116
Nd 0.545 0.927 0.775
Nd 0.927 0.775 0.545
Nd 0.602 0.446 0.233
Nd 0.258 0.116 0.884
Nd 0.565 0.791 0.416
Nd 0.222 0.449 0.068
Nd 0.898 0.123 0.753
Nd 0.449 0.068 0.222
Nd 0.123 0.753 0.898
Nd 0.791 0.416 0.565
Nd 0.753 0.898 0.123
Nd 0.416 0.565 0.791
Nd 0.068 0.222 0.449
Al 0.610 0.279 0.952
Al 0.279 0.952 0.610
Al 0.952 0.610 0.279
Al 0.773 0.117 0.451
Al 0.451 0.773 0.117
Al 0.117 0.451 0.773
Al 0.144 0.144 0.144
Al 0.829 0.829 0.829
Al 0.326 0.326 0.326
Al 0.647 0.647 0.647
S 0.489 0.158 0.827
S 0.158 0.827 0.489
S 0.827 0.489 0.158
S 0.992 0.325 0.658
S 0.658 0.992 0.325
S 0.325 0.658 0.992
S 0.549 0.457 0.989
S 0.213 0.128 0.642
S 0.891 0.791 0.305
S 0.791 0.305 0.891
S 0.457 0.989 0.549
S 0.128 0.642 0.213
S 0.642 0.213 0.128
S 0.305 0.891 0.791
S 0.989 0.549 0.457
S 0.931 0.033 0.519
S 0.614 0.699 0.185
S 0.278 0.367 0.836
S 0.699 0.185 0.614
S 0.367 0.836 0.278
S 0.033 0.519 0.931
S 0.836 0.278 0.367
S 0.519 0.931 0.033
S 0.185 0.614 0.699
S 0.597 0.451 0.694
S 0.244 0.111 0.336
S 0.907 0.766 0.004
S 0.766 0.004 0.907
S 0.451 0.694 0.597
S 0.111 0.336 0.244
S 0.336 0.244 0.111
S 0.004 0.907 0.766
S 0.694 0.597 0.451
S 0.719 0.853 0.629
S 0.380 0.514 0.276
S 0.059 0.209 0.965
S 0.514 0.276 0.380
S 0.209 0.965 0.059
S 0.853 0.629 0.719
S 0.965 0.059 0.209
S 0.629 0.719 0.853
S 0.276 0.380 0.514

=====

Material: LaCd2Rh2
Method: DFT, meta-GGA SCAN
State: PBEsol geometry

The volume comes out at 103 Å³ per cell. The calculation puts the total energy at -2.5523 Ry/atom. Its crystal system is tetragonal. For the total magnetization, the calculation gives 0.000 μB per formula unit. As for the symmetry: No. 139. The value obtained for the energy above the most stable polymorph in this dataset is 0 meV per atom. The calculation puts the formation energy at -0.430 eV per atom.

a = 4.115 Å, b = 4.115 Å, c = 6.729 Å
α = 107.80°, β = 107.80°, γ = 90.00°
Atoms (fractional coordinates):
Cd 0.250 0.750 0.500
Cd 0.750 0.250 0.500
Rh 0.399 0.399 0.797
Rh 0.601 0.601 0.203
La 0.000 0.000 0.000

=====

Material: In2Ni2Sb
Method: DFT, meta-GGA SCAN
State: PBEsol geometry

The volume comes out at 96 Å³ per cell. The calculation puts the total energy at -1.9882 Ry/atom. Its crystal system is tetragonal. For the total magnetization, the calculation gives 0.003 μB per formula unit. As for the symmetry: No. 139. For the uncorrected formation energy, the calculation gives 0.2255 eV/atom.

a = 3.383 Å, b = 3.383 Å, c = 8.733 Å
α = 101.17°, β = 101.17°, γ = 90.00°
Atoms (fractional coordinates):
Sb 0.000 0.000 0.000
Ni 0.250 0.750 0.500
Ni 0.750 0.250 0.500
In 0.369 0.369 0.738
In 0.631 0.631 0.262

=====

Material: SbPb2Au
Method: DFT, meta-GGA SCAN
State: PBEsol geometry

The volume comes out at 102 Å³ per cell. The calculation puts the total energy at -4.7362 Ry/atom. Its crystal system is tetragonal. For the total magnetization, the calculation gives 0.000 μB per formula unit. As for the symmetry: No. 123. For the uncorrected formation energy, the calculation gives 0.0555 eV/atom.

a = 3.485 Å, b = 3.485 Å, c = 8.378 Å
α = 90.00°, β = 90.00°, γ = 90.00°
Atoms (fractional coordinates):
Pb 0.000 0.000 0.717
Pb 0.000 0.000 0.283
Sb 0.500 0.500 0.000
Au 0.500 0.500 0.500

=====

Material: AgHg2As
Method: DFT, meta-GGA SCAN
State: PBEsol geometry

The volume comes out at 80 Å³ per cell. The calculation puts the total energy at -3.4335 Ry/atom. Its crystal system is trigonal. For the total magnetization, the calculation gives 0.000 μB per formula unit. As for the symmetry: No. 166. The calculation puts the formation energy at 0.257 eV per atom.

a = 3.135 Å, b = 3.135 Å, c = 9.545 Å
α = 80.55°, β = 80.55°, γ = 60.00°
Atoms (fractional coordinates):
As 0.000 0.000 0.000
Hg 0.247 0.247 0.259
Hg 0.753 0.753 0.741
Ag 0.500 0.500 0.500

=====

Material: DyP2Pd2
Method: DFT, meta-GGA SCAN
State: PBEsol geometry

The volume comes out at 80 Å³ per cell. The calculation puts the total energy at -2.0460 Ry/atom. Its crystal system is tetragonal. For the total magnetization, the calculation gives 0.000 μB per formula unit. As for the symmetry: No. 139. The calculation puts the formation energy at -1.009 eV per atom.

a = 4.034 Å, b = 4.034 Å, c = 5.666 Å
α = 110.85°, β = 110.85°, γ = 90.00°
Atoms (fractional coordinates):
P 0.389 0.389 0.777
P 0.611 0.611 0.223
Pd 0.250 0.750 0.500
Pd 0.750 0.250 0.500
Dy 0.000 0.000 0.000

=====

Material: ZrWIO2
Method: DFT, meta-GGA SCAN
State: PBEsol geometry

The volume comes out at 100 Å³ per cell. The calculation puts the total energy at -2.2453 Ry/atom. Its crystal system is tetragonal. For the total magnetization, the calculation gives 4.678 μB per formula unit. As for the symmetry: No. 123. The value obtained for the energy above the most stable polymorph in this dataset is 0 meV per atom. For the uncorrected formation energy, the calculation gives -0.6304 eV/atom.

a = 4.043 Å, b = 4.043 Å, c = 6.135 Å
α = 90.00°, β = 90.00°, γ = 90.00°
Atoms (fractional coordinates):
I 0.000 0.000 0.500
O 0.000 0.500 0.000
O 0.500 0.000 0.000
Zr 0.000 0.000 0.000
W 0.500 0.500 0.500

=====

Material: LiInAg2
Method: DFT, meta-GGA SCAN
State: PBEsol geometry

The volume comes out at 70 Å³ per cell. The calculation puts the total energy at -1.8227 Ry/atom. Its crystal system is orthorhombic. For the total magnetization, the calculation gives 0.000 μB per formula unit. As for the symmetry: No. 25. The calculation puts the formation energy at -0.172 eV per atom.

a = 3.096 Å, b = 3.824 Å, c = 5.875 Å
α = 90.00°, β = 90.01°, γ = 90.00°
Atoms (fractional coordinates):
In 0.000 0.000 0.500
Ag 0.000 0.000 0.990
Ag 0.500 0.500 0.241
Li 0.500 0.500 0.769

=====

Material: BeSiW2
Method: DFT, meta-GGA SCAN
State: PBEsol geometry

The volume comes out at 53 Å³ per cell. The calculation puts the total energy at -2.8136 Ry/atom. Its crystal system is tetragonal. For the total magnetization, the calculation gives 0.000 μB per formula unit. As for the symmetry: No. 119. For the uncorrected formation energy, the calculation gives 0.1548 eV/atom.

a = 3.685 Å, b = 3.685 Å, c = 4.713 Å
α = 113.01°, β = 113.01°, γ = 90.00°
Atoms (fractional coordinates):
Be 0.500 0.500 0.000
Si 0.250 0.750 0.500
W 0.000 0.000 0.000
W 0.750 0.250 0.500